Density functional theory data (PBE) for an optimized crystal structure of SrP3Rh4.

Results
Size of the total moment: 0.0000 μB per atom
Formation energy: -678 kJ/mol of formula units
DOS at the Fermi energy: 2.95 states/eV/f.u.

Cell and atoms, written as POSCAR:
```
SrP3Rh4
1.0
3.956 0.000 0.000
0.000 3.956 0.000
0.000 0.000 8.617
Sr P Rh
1 3 4
direct
0.000 0.000 0.500
0.500 0.500 0.690
0.000 0.000 0.000
0.500 0.500 0.310
0.000 0.500 0.835
0.500 0.000 0.835
0.500 0.000 0.165
0.000 0.500 0.165
```